# PrNd7Sm12

A geometry-optimized PrNd7Sm12 structure (GGA-PBE, Alexandria).

Cell: 8.9065 8.9065 8.9065 Å, 86.90 86.90 86.90°
Sites, in units of the cell vectors:
Pr 0.0000 0.0000 0.0000
Nd 0.0757 0.1528 0.3962
Nd 0.1528 0.3962 0.0757
Nd 0.3962 0.0757 0.1528
Nd 0.5000 0.5000 0.5000
Nd 0.6038 0.9243 0.8472
Nd 0.8472 0.6038 0.9243
Nd 0.9243 0.8472 0.6038
Sm 0.1333 0.4926 0.6182
Sm 0.1481 0.7446 0.2776
Sm 0.2554 0.7224 0.8519
Sm 0.2776 0.1481 0.7446
Sm 0.3818 0.8667 0.5074
Sm 0.4926 0.6182 0.1333
Sm 0.5074 0.3818 0.8667
Sm 0.6182 0.1333 0.4926
Sm 0.7224 0.8519 0.2554
Sm 0.7446 0.2776 0.1481
Sm 0.8519 0.2554 0.7224
Sm 0.8667 0.5074 0.3818

Volume (Å³/f.u.): 703.5
Offset from the most stable computed form (eV/atom): 0.000
Theoretical density (g cm⁻³): 6.974
E_tot (eV per atom): -4.520
Energy of formation (eV/atom): 0.219
Total moment (μB per formula unit): 0.0